LaFeP2O8 after structural relaxation, computed with PBE with a Hubbard U.

Geometry as CIF:
```
data_LaFeP2O8
_chemical_formula_sum 'La1 Fe1 P2 O8'
_cell_length_a 5.8204
_cell_length_b 5.8204
_cell_length_c 5.8204
_cell_angle_alpha 105.37
_cell_angle_beta 105.37
_cell_angle_gamma 118.03
_symmetry_space_group_name_H-M 'P 1'
_symmetry_Int_Tables_number 1
_symmetry_space_group_name_Hall 'P 1'
loop_
_atom_site_label
_atom_site_fract_x
_atom_site_fract_y
_atom_site_fract_z
_atom_site_occupancy
La1 0.0000 0.0000 0.0000 1
Fe1 0.2500 0.7500 0.5000 1
P1 0.5000 0.5000 0.0000 1
P2 0.7500 0.2500 0.5000 1
O1 0.3471 0.1677 0.8206 1
O2 0.3471 0.5265 0.1794 1
O3 0.4133 0.0780 0.3353 1
O4 0.4735 0.6529 0.8206 1
O5 0.7427 0.0780 0.6647 1
O6 0.8323 0.6529 0.1794 1
O7 0.9220 0.2573 0.3353 1
O8 0.9220 0.5867 0.6647 1
```

Values from the calculation:
For the electronic total energy, the calculation gives -88.97 eV/f.u. Its total moment is 5.05 μB/cell. The calculation puts the calculated volume at 149 Å³ per cell. The space-group type is No. 119.